1.
First-principles (PBE-GGA) data for a geometry-optimized TbSmZnCd structure, as listed in Alexandria.

a b c (Å): 3.644 3.644 7.609
angles (deg): 90.00 90.00 90.00
Positions (direct):
Tb  0.000  0.000  0.000
Sm  0.000  0.000  0.540
Zn  0.500  0.500  0.779
Cd  0.500  0.500  0.263

## Properties
Volume in Å³/f.u.: 101
Calculated formation energy in eV per atom: -0.327
Total moment in μB/atom: 0.00

2.
First-principles (PBE-GGA) data for a geometry-optimized Na2La4Te3N2 structure, as listed in Alexandria.

a b c (Å): 13.326 13.326 13.326
angles (deg): 158.58 158.58 30.48
Positions (direct):
Na  0.198  0.198  0.000
Na  0.802  0.802  0.000
La  0.089  0.589  0.500
La  0.411  0.911  0.500
La  0.589  0.089  0.500
La  0.911  0.411  0.500
Te  0.321  0.321  0.000
Te  0.500  0.500  0.000
Te  0.679  0.679  0.000
N  0.099  0.099  0.000
N  0.901  0.901  0.000

## Properties
Volume in Å³/f.u.: 315
Total moment in μB/atom: 0.00
Uncorrected formation energy in eV/f.u.: -13.04

3.
First-principles (PBE-GGA) data for a geometry-optimized Tb7CeTl4 structure, as listed in Alexandria.

a b c (Å): 8.023 8.023 9.837
angles (deg): 119.03 119.03 41.87
Positions (direct):
Tb  0.000  0.000  0.000
Tb  0.245  0.245  0.698
Tb  0.299  0.299  0.121
Tb  0.431  0.431  0.593
Tb  0.569  0.569  0.407
Tb  0.701  0.701  0.879
Tb  0.755  0.755  0.302
Ce  0.500  0.500  0.000
Tl  0.051  0.051  0.718
Tl  0.184  0.184  0.338
Tl  0.816  0.816  0.662
Tl  0.949  0.949  0.282

## Properties
Volume in Å³/f.u.: 361
Calculated formation energy in eV per atom: -0.021
Total moment in μB/atom: 0.09